# 1
PmCdGe2Rh5: relaxed, PBE-GGA.

Cell lengths 4.594, 4.594, 7.577 Å; angles 90.00, 90.00, 90.00 degrees
Positions (direct):
Pm1 0.000 0.000 0.000
Cd1 0.000 0.000 0.500
Ge1 0.500 0.500 0.330
Ge2 0.500 0.500 0.670
Rh1 0.000 0.500 0.260
Rh2 0.000 0.500 0.740
Rh3 0.500 0.000 0.260
Rh4 0.500 0.000 0.740
Rh5 0.500 0.500 0.000

Results
* magnetic moment: 0.00 μB/f.u.
* DFT total energy: -6.0726 eV/atom
* SG: No. 123
* Fermi-level density of states: 1.438 states/eV per cell

---

# 2
PmThCdGe: relaxed, PBE-GGA.

Cell lengths 5.303, 5.303, 5.303 Å; angles 60.00, 60.00, 60.00 degrees
Positions (direct):
Pm1 0.000 0.000 0.000
Th1 0.500 0.500 0.500
Cd1 0.250 0.250 0.250
Ge1 0.750 0.750 0.750

Results
* magnetic moment: 0.00 μB/f.u.
* DFT total energy: -4.7762 eV/atom
* SG: No. 216
* Fermi-level density of states: 3.104 states/eV per cell

---

# 3
PmYCdGe: relaxed, PBE-GGA.

Cell lengths 5.213, 5.213, 5.213 Å; angles 60.00, 60.00, 60.00 degrees
Positions (direct):
Pm1 0.000 0.000 0.000
Y1 0.500 0.500 0.500
Cd1 0.250 0.250 0.250
Ge1 0.750 0.750 0.750

Results
* magnetic moment: 0.00 μB/f.u.
* DFT total energy: -4.6796 eV/atom
* SG: No. 216
* Fermi-level density of states: 3.192 states/eV per cell

---

# 4
PmZnCdGe: relaxed, PBE-GGA.

Cell lengths 4.992, 4.992, 4.992 Å; angles 60.00, 60.00, 60.00 degrees
Positions (direct):
Pm1 0.000 0.000 0.000
Zn1 0.750 0.750 0.750
Cd1 0.500 0.500 0.500
Ge1 0.250 0.250 0.250

Results
* magnetic moment: 0.00 μB/f.u.
* DFT total energy: -3.1317 eV/atom
* SG: No. 216
* Fermi-level density of states: 3.788 states/eV per cell

---

# 5
Pr2CdGe: relaxed, PBE-GGA.

Cell lengths 6.282, 4.366, 8.828 Å; angles 90.00, 109.35, 90.00 degrees
Positions (direct):
Pr1 0.201 0.250 0.424
Pr2 0.276 0.750 0.066
Pr3 0.724 0.250 0.934
Pr4 0.799 0.750 0.576
Cd1 0.364 0.750 0.714
Cd2 0.636 0.250 0.286
Ge1 0.122 0.250 0.792
Ge2 0.878 0.750 0.208

Results
* magnetic moment: 0.54 μB/f.u.
* DFT total energy: -4.2845 eV/atom
* SG: No. 11
* Fermi-level density of states: 11.165 states/eV per cell

---

# 6
Pr2CdGe: relaxed, PBE-GGA.

Cell lengths 5.168, 5.168, 4.052 Å; angles 90.00, 90.00, 90.00 degrees
Positions (direct):
Pr1 0.000 0.500 0.000
Pr2 0.500 0.000 0.000
Cd1 0.000 0.000 0.500
Ge1 0.500 0.500 0.500

Results
* magnetic moment: 0.00 μB/f.u.
* DFT total energy: -4.2671 eV/atom
* SG: No. 123
* Fermi-level density of states: 2.709 states/eV per cell

---

# 7
PrCdGe4: relaxed, PBE-GGA.

Cell lengths 5.686, 5.686, 5.686 Å; angles 60.00, 60.00, 60.00 degrees
Positions (direct):
Pr1 0.000 0.000 0.000
Cd1 0.750 0.750 0.750
Ge1 0.375 0.375 0.375
Ge2 0.375 0.375 0.876
Ge3 0.375 0.876 0.375
Ge4 0.876 0.375 0.375

Results
* magnetic moment: 0.00 μB/f.u.
* DFT total energy: -4.2209 eV/atom
* SG: No. 216
* Fermi-level density of states: 2.276 states/eV per cell

---

# 8
PrCdGe: relaxed, PBE-GGA.

Cell lengths 5.360, 5.360, 5.360 Å; angles 133.75, 133.75, 67.49 degrees
Positions (direct):
Pr1 0.000 0.000 0.000
Cd1 0.338 0.338 0.000
Ge1 0.653 0.653 0.000

Results
* magnetic moment: 0.00 μB/f.u.
* DFT total energy: -3.6288 eV/atom
* SG: No. 107
* Fermi-level density of states: 2.461 states/eV per cell

---

# 9
PrCdGe: relaxed, PBE-GGA.

Cell lengths 4.517, 4.517, 4.286 Å; angles 90.00, 90.00, 120.00 degrees
Positions (direct):
Pr1 0.000 0.000 0.000
Cd1 0.667 0.333 0.471
Ge1 0.333 0.667 0.567

Results
* magnetic moment: 0.00 μB/f.u.
* DFT total energy: -3.9452 eV/atom
* SG: No. 156
* Fermi-level density of states: 1.658 states/eV per cell

---

# 10
PrCd11Ge: relaxed, PBE-GGA.

Cell lengths 7.735, 7.735, 7.588 Å; angles 98.70, 98.70, 134.39 degrees
Positions (direct):
Pr1 0.000 0.000 0.000
Cd1 0.000 0.500 0.000
Cd2 0.003 0.652 0.647
Cd3 0.291 0.503 0.788
Cd4 0.348 0.997 0.353
Cd5 0.497 0.709 0.212
Cd6 0.500 0.000 0.000
Cd7 0.500 0.500 0.500
Cd8 0.503 0.291 0.788
Cd9 0.652 0.003 0.647
Cd10 0.709 0.497 0.212
Cd11 0.997 0.348 0.353
Ge1 0.000 0.000 0.500

Results
* magnetic moment: 0.00 μB/f.u.
* DFT total energy: -1.5712 eV/atom
* SG: No. 12
* Fermi-level density of states: 5.350 states/eV per cell

---

# 11
PrCdGe: relaxed, PBE-GGA.

Cell lengths 4.841, 4.841, 4.841 Å; angles 60.00, 60.00, 60.00 degrees
Positions (direct):
Pr1 0.000 0.000 0.000
Cd1 0.500 0.500 0.500
Ge1 0.250 0.250 0.250

Results
* magnetic moment: 0.00 μB/f.u.
* DFT total energy: -3.8520 eV/atom
* SG: No. 216
* Fermi-level density of states: 1.422 states/eV per cell

---

# 12
Pr2Cd3Ge: relaxed, PBE-GGA.

Cell lengths 3.743, 4.895, 8.418 Å; angles 90.00, 90.00, 90.00 degrees
Positions (direct):
Pr1 0.000 0.000 0.000
Pr2 0.000 0.500 0.464
Cd1 0.500 0.000 0.648
Cd2 0.500 0.500 0.144
Cd3 0.500 0.500 0.807
Ge1 0.500 0.000 0.319

Results
* magnetic moment: 0.00 μB/f.u.
* DFT total energy: -3.2288 eV/atom
* SG: No. 25
* Fermi-level density of states: 4.176 states/eV per cell

---

# 13
PrCdGe: relaxed, PBE-GGA.

Cell lengths 7.545, 4.421, 13.237 Å; angles 90.00, 92.91, 90.00 degrees
Positions (direct):
Pr1 0.031 0.250 0.121
Pr2 0.156 0.250 0.418
Pr3 0.461 0.750 0.793
Pr4 0.539 0.250 0.207
Pr5 0.844 0.750 0.582
Pr6 0.969 0.750 0.879
Cd1 0.121 0.250 0.698
Cd2 0.348 0.750 0.043
Cd3 0.498 0.750 0.409
Cd4 0.502 0.250 0.591
Cd5 0.652 0.250 0.957
Cd6 0.879 0.750 0.302
Ge1 0.246 0.750 0.250
Ge2 0.258 0.250 0.918
Ge3 0.260 0.750 0.587
Ge4 0.740 0.250 0.413
Ge5 0.742 0.750 0.082
Ge6 0.754 0.250 0.750

Results
* magnetic moment: 0.00 μB/f.u.
* DFT total energy: -3.9762 eV/atom
* SG: No. 11
* Fermi-level density of states: 12.316 states/eV per cell

---

# 14
Pr4Cd2Ge: relaxed, PBE-GGA.

Cell lengths 9.206, 9.206, 9.206 Å; angles 33.96, 33.96, 33.96 degrees
Positions (direct):
Pr1 0.122 0.122 0.122
Pr2 0.375 0.375 0.375
Pr3 0.625 0.625 0.625
Pr4 0.878 0.878 0.878
Cd1 0.246 0.246 0.246
Cd2 0.754 0.754 0.754
Ge1 0.000 0.000 0.000

Results
* magnetic moment: 0.00 μB/f.u.
* DFT total energy: -3.8990 eV/atom
* SG: No. 166
* Fermi-level density of states: 11.141 states/eV per cell

---

# 15
Pr5CdGe2: relaxed, PBE-GGA.

Cell lengths 9.372, 9.372, 9.372 Å; angles 129.49, 129.49, 74.22 degrees
Positions (direct):
Pr1 0.000 0.000 0.000
Pr2 0.030 0.530 0.841
Pr3 0.189 0.030 0.500
Pr4 0.311 0.811 0.841
Pr5 0.470 0.311 0.500
Pr6 0.500 0.500 0.000
Pr7 0.530 0.689 0.500
Pr8 0.689 0.189 0.159
Pr9 0.811 0.970 0.500
Pr10 0.970 0.470 0.159
Cd1 0.250 0.250 0.000
Cd2 0.750 0.750 0.000
Ge1 0.127 0.373 0.500
Ge2 0.373 0.873 0.246
Ge3 0.627 0.127 0.754
Ge4 0.873 0.627 0.500

Results
* magnetic moment: 0.00 μB/f.u.
* DFT total energy: -4.7679 eV/atom
* SG: No. 140
* Fermi-level density of states: 16.809 states/eV per cell

---

# 16
Pr2CdGe: relaxed, PBE-GGA.

Cell lengths 7.934, 7.934, 7.934 Å; angles 32.37, 32.37, 32.37 degrees
Positions (direct):
Pr1 0.236 0.236 0.236
Pr2 0.764 0.764 0.764
Cd1 0.000 0.000 0.000
Ge1 0.500 0.500 0.500

Results
* magnetic moment: 0.00 μB/f.u.
* DFT total energy: -4.2116 eV/atom
* SG: No. 166
* Fermi-level density of states: 5.056 states/eV per cell

---

# 17
PrCdGe: relaxed, PBE-GGA.

Cell lengths 4.346, 4.098, 8.685 Å; angles 90.00, 97.34, 90.00 degrees
Positions (direct):
Pr1 0.051 0.250 0.191
Pr2 0.949 0.750 0.809
Cd1 0.307 0.250 0.569
Cd2 0.693 0.750 0.431
Ge1 0.474 0.250 0.904
Ge2 0.526 0.750 0.096

Results
* magnetic moment: 0.00 μB/f.u.
* DFT total energy: -3.9613 eV/atom
* SG: No. 11
* Fermi-level density of states: 2.911 states/eV per cell

---

# 18
Pr4CdGe: relaxed, PBE-GGA.

Cell lengths 10.182, 10.182, 10.182 Å; angles 60.00, 60.00, 60.00 degrees
Positions (direct):
Pr1 0.185 0.185 0.815
Pr2 0.185 0.815 0.185
Pr3 0.185 0.815 0.815
Pr4 0.392 0.392 0.392
Pr5 0.392 0.392 0.825
Pr6 0.392 0.825 0.392
Pr7 0.562 0.562 0.938
Pr8 0.562 0.938 0.562
Pr9 0.562 0.938 0.938
Pr10 0.815 0.185 0.185
Pr11 0.815 0.185 0.815
Pr12 0.815 0.815 0.185
Pr13 0.825 0.392 0.392
Pr14 0.938 0.562 0.562
Pr15 0.938 0.562 0.938
Pr16 0.938 0.938 0.562
Cd1 0.170 0.170 0.170
Cd2 0.170 0.170 0.491
Cd3 0.170 0.491 0.170
Cd4 0.491 0.170 0.170
Ge1 0.187 0.604 0.604
Ge2 0.604 0.187 0.604
Ge3 0.604 0.604 0.187
Ge4 0.604 0.604 0.604

Results
* magnetic moment: 0.00 μB/f.u.
* DFT total energy: -4.4785 eV/atom
* SG: No. 216
* Fermi-level density of states: 30.095 states/eV per cell

---

# 19
Pr6CdGe2: relaxed, PBE-GGA.

Cell lengths 8.956, 8.956, 8.956 Å; angles 111.28, 110.18, 106.99 degrees
Positions (direct):
Pr1 0.048 0.248 0.800
Pr2 0.172 0.469 0.297
Pr3 0.172 0.875 0.703
Pr4 0.323 0.227 0.550
Pr5 0.323 0.773 0.097
Pr6 0.448 0.248 0.200
Pr7 0.552 0.752 0.800
Pr8 0.677 0.227 0.903
Pr9 0.677 0.773 0.450
Pr10 0.828 0.125 0.297
Pr11 0.828 0.531 0.703
Pr12 0.952 0.752 0.200
Cd1 0.000 0.000 0.000
Cd2 0.500 0.500 0.000
Ge1 0.154 0.500 0.654
Ge2 0.381 0.881 0.500
Ge3 0.619 0.119 0.500
Ge4 0.846 0.500 0.346

Results
* magnetic moment: 0.00 μB/f.u.
* DFT total energy: -4.7737 eV/atom
* SG: No. 71
* Fermi-level density of states: 17.710 states/eV per cell

---

# 20
Pr4CdGe2: relaxed, PBE-GGA.

Cell lengths 9.885, 9.885, 9.885 Å; angles 30.02, 30.02, 30.02 degrees
Positions (direct):
Pr1 0.119 0.119 0.119
Pr2 0.292 0.292 0.292
Pr3 0.708 0.708 0.708
Pr4 0.881 0.881 0.881
Cd1 0.500 0.500 0.500
Ge1 0.402 0.402 0.402
Ge2 0.598 0.598 0.598

Results
* magnetic moment: 0.00 μB/f.u.
* DFT total energy: -4.5682 eV/atom
* SG: No. 166
* Fermi-level density of states: 8.466 states/eV per cell

---

# 21
Pr3CdGe4: relaxed, PBE-GGA.

Cell lengths 8.733, 8.733, 8.733 Å; angles 150.63, 138.64, 51.53 degrees
Positions (direct):
Pr1 0.000 0.000 0.000
Pr2 0.311 0.811 0.500
Pr3 0.689 0.189 0.500
Cd1 0.500 0.500 0.000
Ge1 0.069 0.372 0.698
Ge2 0.326 0.628 0.698
Ge3 0.674 0.372 0.302
Ge4 0.931 0.628 0.302

Results
* magnetic moment: 0.00 μB/f.u.
* DFT total energy: -4.7967 eV/atom
* SG: No. 71
* Fermi-level density of states: 3.565 states/eV per cell

---

# 22
Pr2CdGePt6: relaxed, PBE-GGA.

Cell lengths 5.715, 5.715, 8.972 Å; angles 108.50, 108.50, 59.99 degrees
Positions (direct):
Pr1 0.203 0.203 0.110
Pr2 0.797 0.797 0.890
Cd1 0.000 0.000 0.500
Ge1 0.500 0.500 0.000
Pt1 0.232 0.744 0.222
Pt2 0.255 0.255 0.778
Pt3 0.256 0.768 0.778
Pt4 0.744 0.232 0.222
Pt5 0.745 0.745 0.222
Pt6 0.768 0.256 0.778

Results
* magnetic moment: 0.00 μB/f.u.
* DFT total energy: -5.8057 eV/atom
* SG: No. 12
* Fermi-level density of states: 4.116 states/eV per cell

---

# 23
Pr2CdGe2Rh5: relaxed, PBE-GGA.

Cell lengths 10.051, 10.051, 3.636 Å; angles 90.00, 90.00, 90.00 degrees
Positions (direct):
Pr1 0.176 0.324 0.000
Pr2 0.324 0.824 0.000
Pr3 0.676 0.176 0.000
Pr4 0.824 0.676 0.000
Cd1 0.000 0.000 0.000
Cd2 0.500 0.500 0.000
Ge1 0.122 0.622 0.000
Ge2 0.378 0.122 0.000
Ge3 0.622 0.878 0.000
Ge4 0.878 0.378 0.000
Rh1 0.000 0.500 0.500
Rh2 0.067 0.785 0.500
Rh3 0.215 0.067 0.500
Rh4 0.285 0.567 0.500
Rh5 0.433 0.285 0.500
Rh6 0.500 0.000 0.500
Rh7 0.567 0.715 0.500
Rh8 0.715 0.433 0.500
Rh9 0.785 0.933 0.500
Rh10 0.933 0.215 0.500

Results
* magnetic moment: 0.00 μB/f.u.
* DFT total energy: -6.3049 eV/atom
* SG: No. 127
* Fermi-level density of states: 5.791 states/eV per cell